Here is crystalline Li4CdGa at its relaxed geometry from the Alexandria database. Energies are from PBE.

Values from the calculation:
DOS at the Fermi energy, states/eV per atom: 0.474
Space-group type: P4/mmm
E above lowest polymorph, eV per atom: 0.024
Total magnetic moment, Bohr magnetons per cell: 0.000

Structure (CIF):
```
data_Li4CdGa
_chemical_formula_sum 'Li4 Cd1 Ga1'
_symmetry_space_group_name_H-M 'P 1'
_symmetry_Int_Tables_number 1
_cell_length_a 3.274
_cell_length_b 3.273
_cell_length_c 9.550
_cell_angle_alpha 90.00
_cell_angle_beta 90.00
_cell_angle_gamma 90.00
loop_
_symmetry_equiv_pos_as_xyz
'x,y,z'
loop_
_atom_site_label
_atom_site_fract_x
_atom_site_fract_y
_atom_site_fract_z
_atom_site_occupancy
Li1 0.500 0.500 0.158 1
Li2 0.500 0.500 0.842 1
Li3 0.000 0.000 0.675 1
Li4 0.000 0.000 0.325 1
Cd1 0.500 0.500 0.500 1
Ga1 0.000 0.000 0.000 1
```